Entry 1:
# AlCrBr2

Crystalline AlCrBr2 at its relaxed geometry (PBE, Alexandria).

```
AlCrBr2
1.0
6.300 -0.083 0.075
0.710 6.260 -0.075
-1.738 -5.093 3.276
Cr Al Br
1 1 2
Direct
0.482 0.482 0.000
0.266 0.766 0.500
0.067 0.067 0.000
0.684 0.184 0.500
```

The energy above the most stable polymorph in this dataset is 0.745 eV/f.u. The total moment is 5.0 μB/cell. For the raw formation energy, the calculation gives -0.147 eV per formula unit. For the density, the calculation gives 3.11 g/cm3.



Entry 2:
# AlCrBr2

Crystalline AlCrBr2 at its relaxed geometry (PBE, Alexandria).

```
AlCrBr2
1.0
-0.846 -0.527 -3.758
5.070 -4.058 -0.572
-2.451 -3.204 1.002
Cr Al Br
1 1 2
Direct
0.500 0.000 0.500
0.000 0.500 0.500
0.000 0.000 0.000
0.500 0.500 0.000
```

The energy above the most stable polymorph in this dataset is 1.392 eV/f.u. The total moment is 5.0 μB/cell. For the raw formation energy, the calculation gives 0.500 eV per formula unit. For the density, the calculation gives 3.76 g/cm3.



Entry 3:
# Al2CrBr

Crystalline Al2CrBr at its relaxed geometry (PBE, Alexandria).

```
Al2CrBr
1.0
-1.834 1.223 5.163
0.280 -3.171 0.851
4.096 0.717 1.285
Cr Al Br
1 2 1
Direct
0.500 0.750 0.750
0.000 0.992 0.992
0.000 0.508 0.508
0.500 0.250 0.250
```

The energy above the most stable polymorph in this dataset is 0.923 eV/f.u. The total moment is 4.0 μB/cell. For the raw formation energy, the calculation gives 1.409 eV per formula unit. For the density, the calculation gives 3.83 g/cm3.



Entry 4:
# AlCrBr2

Crystalline AlCrBr2 at its relaxed geometry (PBE, Alexandria).

```
AlCrBr2
1.0
-0.587 -5.292 -5.684
1.637 -6.876 -3.272
-3.127 -2.603 1.173
Cr Al Br
1 1 2
Direct
0.750 0.750 0.750
0.250 0.250 0.250
0.113 0.113 0.887
0.387 0.387 0.613
```

The energy above the most stable polymorph in this dataset is 0.461 eV/f.u. The total moment is 4.0 μB/cell. For the raw formation energy, the calculation gives -0.432 eV per formula unit. For the density, the calculation gives 3.54 g/cm3.



Entry 5:
# Al2CrBr

Crystalline Al2CrBr at its relaxed geometry (PBE, Alexandria).

```
Al2CrBr
1.0
5.749 -0.003 0.000
2.989 4.911 0.000
-4.369 -2.454 2.818
Cr Al Br
1 2 1
Direct
0.750 0.250 0.500
0.000 0.000 0.000
0.500 0.500 0.000
0.250 0.750 0.500
```

The energy above the most stable polymorph in this dataset is 1.202 eV/f.u. The total moment is 4.3 μB/cell. For the raw formation energy, the calculation gives 1.688 eV per formula unit. For the density, the calculation gives 3.88 g/cm3.



Entry 6:
# Al2CrBr

Crystalline Al2CrBr at its relaxed geometry (PBE, Alexandria).

```
Al2CrBr
1.0
-5.615 0.502 1.323
-3.936 -1.047 -4.117
4.314 -1.854 3.389
Cr Al Br
1 2 1
Direct
0.248 0.748 0.500
0.029 0.029 0.000
0.763 0.263 0.500
0.460 0.460 0.000
```

The energy above the most stable polymorph in this dataset is 0.753 eV/f.u. The total moment is 3.2 μB/cell. For the raw formation energy, the calculation gives 1.240 eV per formula unit. For the density, the calculation gives 4.05 g/cm3.



Entry 7:
# Al2CrBr

Crystalline Al2CrBr at its relaxed geometry (PBE, Alexandria).

```
Al2CrBr
1.0
7.921 0.000 0.000
0.000 7.921 0.000
3.961 3.961 2.735
Cr Al Br
2 4 2
Direct
0.500 0.500 0.000
0.250 0.750 0.500
0.600 0.125 0.250
0.150 0.625 0.250
0.375 0.400 0.750
0.875 0.850 0.750
0.000 0.000 0.000
0.750 0.250 0.500
```

The energy above the most stable polymorph in this dataset is 1.511 eV/f.u. The total moment is 8.3 μB/cell. For the raw formation energy, the calculation gives 1.998 eV per formula unit. For the density, the calculation gives 3.60 g/cm3.



Entry 8:
# AlCrBr

Crystalline AlCrBr at its relaxed geometry (PBE, Alexandria).

```
AlCrBr
1.0
-1.616 -2.732 -0.872
0.586 0.622 3.179
-5.243 2.979 0.383
Cr Al Br
1 1 1
Direct
0.333 0.667 0.672
0.000 0.000 0.964
0.667 0.333 0.363
```

The energy above the most stable polymorph in this dataset is 0.000 eV/f.u. The total moment is 3.0 μB/cell. For the raw formation energy, the calculation gives 0.677 eV per formula unit. For the density, the calculation gives 4.65 g/cm3.



> Among the records above, which one has the lowest raw formation energy?

number 4